A plane-wave DFT calculation with GGA-PBE was carried out for TeP2Ru after structural relaxation.

Cell: 4.5873 4.5873 3.2746 Å, 90.00 90.00 102.65°
With the nearest neighbours (Å) after each atom.
Sites, in units of the cell vectors:
Te1 0.0000 0.0000 0.0000  8 P 2.82, 2 Ru 2.87
P1 0.0000 0.5000 0.5000  4 Te 2.82, 4 Ru 2.82, 2 P 2.87
P2 0.5000 0.0000 0.5000  4 Te 2.82, 4 Ru 2.82, 2 P 2.87
Ru1 0.5000 0.5000 0.0000  8 P 2.82, 2 Te 2.87

crystal system = orthorhombic
DOS at the Fermi energy = 2.696 states/eV/f.u.

A plane-wave DFT calculation with GGA-PBE was carried out for Te4PRu after structural relaxation.

Cell: 6.1391 6.1391 6.1391 Å, 60.00 60.00 60.00°
With the nearest neighbours (Å) after each atom.
Sites, in units of the cell vectors:
Te1 0.1247 0.1247 0.1247  6 Te 3.06-3.08
Te2 0.1247 0.1247 0.6260  6 Te 3.06-3.08
Te3 0.1247 0.6260 0.1247  6 Te 3.06-3.08
Te4 0.6260 0.1247 0.1247  6 Te 3.06-3.08
P1 0.7500 0.7500 0.7500  12 Te 3.60, 4 Ru 3.76
Ru1 0.5000 0.5000 0.5000  12 Te 3.60, 4 P 3.76

crystal system = cubic
DOS at the Fermi energy = 8.998 states/eV/f.u.

| no. | formation energy from raw total energies (eV per formula unit) | mass density (g/cm³) | E_tot (eV/atom) |
| --- | --- | --- | --- |
| 1 | 2.71 | 7.2 | -5.13 |
| 2 | 8.07 | 6.5 | -3.20 |